# 1
First-principles (PBE-GGA) data for Ca8AgPb2 after structural relaxation, as listed in Alexandria via LeMat-Bulk.

```
Ca8AgPb2
1.0
-2.639 4.587 7.490
2.639 -4.587 7.490
2.639 4.587 -7.490
Ca Ag Pb
8 1 2
direct
0.129 0.344 0.785
0.131 0.131 0.000
0.324 0.000 0.324
0.441 0.656 0.785
0.559 0.344 0.215
0.676 0.000 0.676
0.869 0.869 0.000
0.871 0.656 0.215
0.000 0.500 0.500
0.300 0.800 0.500
0.700 0.200 0.500
```

Computed properties:
As for the size of the total moment: 0.00 μB per formula unit. Its density is 3860 kg/m3. For the total energy, the calculation gives -29.2 eV per cell. The volume is 363 Å³/f.u. Its space group is Immm, No. 71. The value obtained for the energy of formation is -0.263 eV/atom. The calculation puts the density of states at the Fermi level at 0.75 states/eV per atom.



# 2
First-principles (PBE-GGA) data for CaAgPb2 after structural relaxation, as listed in Alexandria via LeMat-Bulk.

```
CaAgPb2
1.0
1.828 1.056 10.004
-1.828 1.056 10.004
0.000 -2.111 10.004
Ca Ag Pb
1 1 2
direct
0.000 0.000 0.000
0.500 0.500 0.500
0.242 0.242 0.242
0.758 0.758 0.758
```

Computed properties:
As for the size of the total moment: 0.00 μB per formula unit. Its density is 8060 kg/m3. For the total energy, the calculation gives -12.3 eV per cell. The volume is 116 Å³/f.u. Its space group is R-3m, No. 166. The value obtained for the energy of formation is -0.019 eV/atom. The calculation puts the density of states at the Fermi level at 1.13 states/eV per atom.



# 3
First-principles (PBE-GGA) data for Ca2AgPb after structural relaxation, as listed in Alexandria via LeMat-Bulk.

```
Ca2AgPb
1.0
-2.329 2.329 5.166
2.329 -2.329 5.166
2.329 2.329 -5.166
Ca Ag Pb
2 1 1
direct
0.000 0.000 0.000
0.750 0.250 0.500
0.500 0.500 0.000
0.250 0.750 0.500
```

Computed properties:
As for the size of the total moment: 0.00 μB per formula unit. Its density is 5855 kg/m3. For the total energy, the calculation gives -11.7 eV per cell. The volume is 112 Å³/f.u. Its space group is I-4m2, No. 119. The value obtained for the energy of formation is -0.287 eV/atom. The calculation puts the density of states at the Fermi level at 0.73 states/eV per atom.



Question: Which value of energy of formation does entry 1 give?
Answer: -0.263 eV/atom



Question: Look up the energy of formation of the third one.
Answer: -0.287 eV/atom